Density functional theory data (PBEsol) for crystalline KHgP at its relaxed geometry.

Properties
The raw total energy comes out at -8.36 eV for the cell shown. The calculation puts the calculated volume at 81.9 Å³/cell. As for the formation energy from the elements: -291 meV/atom. For the density of states at the Fermi level, the calculation gives 0.2 states/eV per cell. The space-group type is P-6m2, No. 187. As for the crystal system: hexagonal.

Cell lengths 4.347, 4.347, 5.003 Å; angles 90.00, 90.00, 120.00 degrees
Element x y z (fractional)
K 0.000 0.000 0.000
Hg 0.667 0.333 0.500
P 0.333 0.667 0.500